This record from the Alexandria database describes a relaxed NdDyF crystal. The functional is PBE-GGA.

abc: 3.7892 3.7892 5.7006
angles: 90.00 90.00 120.00
Space group P3m1 (No. 156)
Unique sites:
Nd 0.0000 0.0000 0.0000 (multiplicity 1)
Dy 0.3333 0.6667 0.5018 (multiplicity 1)
F 0.6667 0.3333 0.2728 (multiplicity 1)

Computed properties:
* magnetic moment: 0.00 μB per formula unit
* DFT total energy: -15.9 eV for the cell shown
* crystal system: trigonal